# 1
The following is a PBE calculation of an optimized crystal structure of SrCa9Ac4, from Alexandria.

abc: 12.4942 10.9821 10.9821
angles: 120.00 90.00 90.00
Last column: nearest neighbours and their distance in Å.
Sites, in units of the cell vectors:
Sr 0.7500 0.3333 0.6667  9 Ca 3.70-4.01
Sr 0.2500 0.6667 0.3333  9 Ca 3.70-4.01
Ac 0.0000 0.0000 0.0000  6 Ac 3.75, 6 Ca 3.92
Ac 0.5000 0.0000 0.0000  6 Ac 3.75, 6 Ca 3.92
Ac 0.2500 0.7823 0.8911  4 Ac 3.59-3.75, 4 Ca 3.70-3.91
Ac 0.7500 0.2177 0.1089  4 Ac 3.59-3.75, 4 Ca 3.70-3.91
Ac 0.7500 0.8911 0.1089  4 Ac 3.59-3.75, 4 Ca 3.70-3.91
Ac 0.7500 0.8911 0.7823  4 Ac 3.59-3.75, 4 Ca 3.70-3.91
Ac 0.2500 0.1089 0.2177  4 Ac 3.59-3.75, 4 Ca 3.70-3.91
Ac 0.2500 0.1089 0.8911  4 Ac 3.59-3.75, 4 Ca 3.70-3.91
Ca 0.2500 0.4558 0.5442  2 Ac 3.70, 1 Sr 4.01, 2 Ca 4.03
Ca 0.0268 0.7947 0.5895  1 Sr 3.70, 2 Ac 3.91-3.92, 2 Ca 3.96
Ca 0.9732 0.2053 0.7947  1 Sr 3.70, 2 Ac 3.91-3.92, 2 Ca 3.96
Ca 0.7500 0.5442 0.0885  2 Ac 3.70, 1 Sr 4.01, 2 Ca 4.03
Ca 0.5268 0.2053 0.7947  1 Sr 3.70, 2 Ac 3.91-3.92, 2 Ca 3.96
Ca 0.9732 0.2053 0.4105  1 Sr 3.70, 2 Ac 3.91-3.92, 2 Ca 3.96
Ca 0.0268 0.7947 0.2053  1 Sr 3.70, 2 Ac 3.91-3.92, 2 Ca 3.96
Ca 0.5268 0.5895 0.7947  1 Sr 3.70, 2 Ac 3.91-3.92, 2 Ca 3.96
Ca 0.7500 0.5442 0.4558  2 Ac 3.70, 1 Sr 4.01, 2 Ca 4.03
Ca 0.9732 0.5895 0.7947  1 Sr 3.70, 2 Ac 3.91-3.92, 2 Ca 3.96
Ca 0.4732 0.7947 0.5895  1 Sr 3.70, 2 Ac 3.91-3.92, 2 Ca 3.96
Ca 0.2500 0.4558 0.9115  2 Ac 3.70, 1 Sr 4.01, 2 Ca 4.03
Ca 0.4732 0.4105 0.2053  1 Sr 3.70, 2 Ac 3.91-3.92, 2 Ca 3.96
Ca 0.2500 0.0885 0.5442  2 Ac 3.70, 1 Sr 4.01, 2 Ca 4.03
Ca 0.5268 0.2053 0.4105  1 Sr 3.70, 2 Ac 3.91-3.92, 2 Ca 3.96
Ca 0.4732 0.7947 0.2053  1 Sr 3.70, 2 Ac 3.91-3.92, 2 Ca 3.96
Ca 0.7500 0.9115 0.4558  2 Ac 3.70, 1 Sr 4.01, 2 Ca 4.03
Ca 0.0268 0.4105 0.2053  1 Sr 3.70, 2 Ac 3.91-3.92, 2 Ca 3.96

***

# 2
The following is a PBE calculation of an optimized crystal structure of SrCa4Ac, from Alexandria.

Summary:
The distance to the lowest polymorph of the same formula is 0.000 eV/atom.

abc: 3.9865 3.9865 16.7625
angles: 89.97 89.97 90.00
Last column: nearest neighbours and their distance in Å.
Sites, in units of the cell vectors:
Ca 0.5001 0.5001 0.8244  8 Ca 3.90-3.99, 4 Sr 4.07-4.08
Ca 0.9999 0.9999 0.3364  8 Ca 3.90-3.99, 4 Ac 3.93
Ca 0.4999 0.4999 0.1756  8 Ca 3.90-3.99, 4 Sr 4.07-4.08
Ca 0.0001 0.0001 0.6636  8 Ca 3.90-3.99, 4 Ac 3.93
Ac 0.5000 0.5000 0.5000  8 Ca 3.93, 4 Ac 3.99
Sr 0.0000 0.0000 0.0000  4 Sr 3.99, 8 Ca 4.07-4.08

***

# 3
The following is a PBE calculation of an optimized crystal structure of Sr2Ca5Ac2, from Alexandria.

abc: 5.7492 8.7969 8.9920
angles: 107.88 108.64 90.00
Last column: nearest neighbours and their distance in Å.
Sites, in units of the cell vectors:
Ac 0.2228 0.3476 0.4455  2 Ac 3.83, 7 Ca 3.84-4.07, 3 Sr 4.07-4.12
Ac 0.7772 0.6524 0.5545  2 Ac 3.83, 7 Ca 3.84-4.07, 3 Sr 4.07-4.12
Sr 0.3361 0.9994 0.6722  7 Ca 3.98-4.04, 3 Ac 4.07-4.12, 2 Sr 4.11
Sr 0.6639 0.0006 0.3278  7 Ca 3.98-4.04, 3 Ac 4.07-4.12, 2 Sr 4.11
Ca 0.8907 0.3387 0.7813  3 Ac 3.85-4.07, 6 Ca 3.88-4.04, 3 Sr 4.03-4.04
Ca 0.5580 0.3428 0.1160  3 Ac 3.84-4.01, 7 Ca 3.88-4.05, 2 Sr 3.98-4.00
Ca 0.4420 0.6572 0.8840  3 Ac 3.84-4.01, 7 Ca 3.88-4.05, 2 Sr 3.98-4.00
Ca 0.0000 0.0000 0.0000  6 Ca 3.99-4.05, 4 Sr 4.01, 2 Ac 4.03
Ca 0.1093 0.6613 0.2187  3 Ac 3.85-4.07, 6 Ca 3.88-4.04, 3 Sr 4.03-4.04

***

# 4
The following is a PBE calculation of an optimized crystal structure of Sr4CaAc3, from Alexandria.

abc: 5.8432 11.6125 11.5151
angles: 90.00 90.00 90.00
Last column: nearest neighbours and their distance in Å.
Sites, in units of the cell vectors:
Ca 0.0644 0.3829 0.0000  8 Ac 3.86-4.14, 4 Sr 4.06-4.08
Ca 0.5644 0.6171 0.5000  8 Ac 3.86-4.14, 4 Sr 4.06-4.08
Sr 0.0644 0.8669 0.0000  8 Sr 4.09-4.30, 4 Ac 4.12-4.20
Sr 0.0644 0.8619 0.5000  2 Ca 4.08, 8 Sr 4.12-4.30, 2 Ac 4.15
Sr 0.5644 0.8622 0.2482  1 Ca 4.06, 8 Sr 4.09-4.33, 3 Ac 4.11-4.15
Sr 0.5644 0.1331 0.5000  8 Sr 4.09-4.30, 4 Ac 4.12-4.20
Sr 0.5644 0.1381 0.0000  2 Ca 4.08, 8 Sr 4.12-4.30, 2 Ac 4.15
Sr 0.0644 0.1378 0.2518  1 Ca 4.06, 8 Sr 4.09-4.33, 3 Ac 4.11-4.15
Sr 0.5644 0.8622 0.7518  1 Ca 4.06, 8 Sr 4.09-4.33, 3 Ac 4.11-4.15
Sr 0.0644 0.1378 0.7482  1 Ca 4.06, 8 Sr 4.09-4.33, 3 Ac 4.11-4.15
Ac 0.0644 0.3925 0.5000  6 Ac 3.86-4.07, 2 Ca 3.92, 4 Sr 4.11-4.20
Ac 0.5644 0.3910 0.7455  3 Ca 3.86-4.14, 5 Ac 3.86-4.07, 4 Sr 4.12-4.15
Ac 0.5644 0.6075 0.0000  6 Ac 3.86-4.07, 2 Ca 3.92, 4 Sr 4.11-4.20
Ac 0.0644 0.6090 0.2455  3 Ca 3.86-4.14, 5 Ac 3.86-4.07, 4 Sr 4.12-4.15
Ac 0.0644 0.6090 0.7545  3 Ca 3.86-4.14, 5 Ac 3.86-4.07, 4 Sr 4.12-4.15
Ac 0.5644 0.3910 0.2545  3 Ca 3.86-4.14, 5 Ac 3.86-4.07, 4 Sr 4.12-4.15

***

# 5
The following is a PBE calculation of an optimized crystal structure of Sr2Ca4Ac, from Alexandria.

Summary:
The distance to the lowest polymorph of the same formula is 0.471 eV/atom.

abc: 6.3233 6.3233 10.6705
angles: 107.24 107.24 90.00
Last column: nearest neighbours and their distance in Å.
Sites, in units of the cell vectors:
Ca 0.5000 0.0000 0.0000  2 Ac 3.16
Ca 0.8243 0.8243 0.6486  1 Ac 3.40
Ca 0.1757 0.1757 0.3514  1 Ac 3.40
Ca 0.0000 0.5000 0.0000  2 Ac 3.16
Sr 0.6136 0.6136 0.2271  5 Ca 3.85-4.08
Sr 0.3864 0.3864 0.7729  5 Ca 3.85-4.08
Ac 0.0000 0.0000 0.0000  6 Ca 3.16-3.40

***

# 6
The following is a PBE calculation of an optimized crystal structure of SrCaAc2, from Alexandria.

Summary:
The distance to the lowest polymorph of the same formula is 0.031 eV/atom.

abc: 6.8843 3.9966 7.0172
angles: 106.47 99.75 90.06
Last column: nearest neighbours and their distance in Å.
Sites, in units of the cell vectors:
Sr 0.7500 0.2500 0.5000  4 Ca 3.98, 2 Sr 4.00, 6 Ac 4.03-4.07
Ac 0.4950 0.4977 0.9944  6 Ac 3.93-4.03, 3 Ca 3.99-4.06, 3 Sr 4.03-4.07
Ac 0.0050 0.0023 0.0056  6 Ac 3.93-4.03, 3 Ca 3.99-4.06, 3 Sr 4.03-4.07
Ca 0.2500 0.7500 0.5000  4 Sr 3.98, 6 Ac 3.99-4.06, 2 Ca 4.00

***

| no. | electronic total energy (eV per formula unit) | formation energy (eV/atom) | D(E_F) (states/eV per cell) |
| --- | --- | --- | --- |
| 1 | -33.72 | 0.17 | 39.7 |
| 2 | -13.62 | 0.03 | 9.1 |
| 3 | -21.12 | 0.05 | 14.8 |
| 4 | -20.72 | 0.04 | 22.7 |
| 5 | -11.96 | 0.50 | 4.4 |
| 6 | -11.69 | 0.05 | 6.2 |